Record 1
4
Lattice="3.467 0.000 0.000 0.000 3.467 0.000 0.000 0.000 9.125" Properties=species:S:1:pos:R:3 comment="PrY2Ru, optimized geometry, DFT GGA-PBE" m_tot_mub_per_cell=0.0 crystal_system=tetragonal final_energy_ev_per_cell=-27.82 delta_e_f_ev_per_atom=-0.208 polymorph_energy_mev_per_atom=47 spacegroup="P4/mmm (123)" pbc="T T T"
Y 0.000 0.000 7.487
Y 0.000 0.000 1.638
Pr 1.733 1.733 4.562
Ru 1.733 1.733 0.000

=====

Record 2
19
Lattice="-0.139 -5.910 -4.243 3.175 -4.621 4.638 -6.052 -3.009 2.696" Properties=species:S:1:pos:R:3 comment="Ba2La2Pd15, optimized geometry, DFT GGA-PBE" m_tot_mub_per_cell=0.0 crystal_system=trigonal final_energy_ev_per_cell=-100.75 delta_e_f_ev_per_atom=-0.482 spacegroup="R-3m (166)" pbc="T T T"
Pd 0.420 -4.139 4.058
Pd -1.903 -5.912 4.135
Pd 0.539 -6.985 3.380
Pd -0.070 -2.955 -2.121
Pd -1.905 -5.044 -2.171
Pd -3.026 -1.504 1.348
Pd 1.042 -7.357 0.679
Pd -3.297 -3.490 3.276
Pd -3.554 -6.554 -0.289
Pd -4.286 -3.875 0.624
Pd -4.058 -6.182 2.412
Pd 1.588 -2.310 2.319
Pd 0.850 -5.525 -1.591
Pd -1.113 -7.628 -1.044
Pd 2.186 -5.006 1.986
La -2.679 -12.029 2.746
La -0.336 -1.511 0.345
Ba -1.926 -8.648 1.974
Ba -1.089 -4.891 1.117

=====

Record 3
18
Lattice="6.439 0.000 0.000 -3.220 5.577 0.000 0.000 0.000 14.600" Properties=species:S:1:pos:R:3 comment="ScTlVCl6, optimized geometry, DFT GGA-PBE" m_tot_mub_per_cell=6.0 crystal_system=trigonal final_energy_ev_per_cell=-85.98 raw_formation_energy_mev_per_atom=-1566.2 spacegroup="P-31c (163)" pbc="T T T"
Cl 2.360 0.021 9.521
Cl 1.198 2.033 12.378
Cl 4.381 3.523 12.378
Cl 2.022 3.543 2.221
Cl 1.162 2.054 5.079
Cl 5.241 2.033 9.521
Cl 4.080 0.021 12.378
Cl -1.162 2.054 2.221
Cl 0.860 5.556 5.079
Cl -0.860 5.556 2.221
Cl 2.058 3.523 9.521
Cl -2.022 3.543 5.079
Tl 0.000 0.000 7.300
Tl 0.000 0.000 0.000
V 0.000 3.718 3.650
V 3.220 1.859 10.950
Sc 0.000 3.718 10.950
Sc 3.220 1.859 3.650